## AlMoSe2 (PBE-GGA)

Data for a relaxed structure of AlMoSe2.

Properties
space-group type = Imm2 (44)
DOS at the Fermi energy = 2.3 states/eV per cell
E_form (uncorrected) = 0.08 eV/atom

abc: 5.4661 5.4661 5.4661
angles: 146.43 127.40 63.86
With the nearest neighbours (Å) after each atom.
Positions (direct):
Mo 0.2370 0.7370 0.5000  2 Se 2.53
Al 0.5039 0.5039 0.0000  6 Se 2.66-2.90, 2 Mo 2.94
Se 0.0245 0.0245 0.0000  2 Mo 2.53
Se 0.7346 0.2346 0.5000  2 Al 2.66, 4 Mo 2.89

## AlMoSe2 (PBE-GGA)

Data for a relaxed structure of AlMoSe2.

Properties
space-group type = P4/mmm (123)
DOS at the Fermi energy = 2.3 states/eV per cell
E_form (uncorrected) = -0.06 eV/atom

abc: 3.1399 3.1399 7.3275
angles: 90.00 90.00 90.00
With the nearest neighbours (Å) after each atom.
Positions (direct):
Mo 0.5000 0.5000 0.7500  8 Se 2.70
Al 0.5000 0.5000 0.2500  8 Se 3.07, 4 Al 3.14
Se 0.0000 0.0000 0.9602  4 Mo 2.70
Se 0.0000 0.0000 0.5398  4 Mo 2.70

## AlMoSe3 (PBE-GGA)

Data for a relaxed structure of AlMoSe3.

Properties
space-group type = Pm-3m (221)
DOS at the Fermi energy = 2.9 states/eV per cell
relative energy among the computed polymorphs = 345 meV/atom
E_form (uncorrected) = 0.53 eV/atom

abc: 4.8401 4.8401 4.8401
angles: 90.00 90.00 90.00
With the nearest neighbours (Å) after each atom.
Positions (direct):
Mo 0.5000 0.5000 0.5000  12 Se 3.42
Al 0.0000 0.0000 0.0000  6 Se 2.42
Se 0.0000 0.5000 0.0000  2 Al 2.42
Se 0.0000 0.0000 0.5000  2 Al 2.42
Se 0.5000 0.0000 0.0000  2 Al 2.42

## AlMo2Se2 (PBE-GGA)

Data for a relaxed structure of AlMo2Se2.

Properties
space-group type = I4/mmm (139)
DOS at the Fermi energy = 3.7 states/eV per cell
relative energy among the computed polymorphs = 155 meV/atom
E_form (uncorrected) = 0.37 eV/atom

abc: 4.0015 4.0015 6.5017
angles: 72.08 72.08 90.00
With the nearest neighbours (Å) after each atom.
Positions (direct):
Mo 0.3866 0.3866 0.2268  4 Se 2.56, 1 Mo 2.65
Mo 0.6134 0.6134 0.7732  4 Se 2.56, 1 Mo 2.65
Al 0.0000 0.0000 0.0000  8 Mo 3.13
Se 0.7500 0.2500 0.5000  4 Mo 2.56, 4 Se 2.83
Se 0.2500 0.7500 0.5000  4 Mo 2.56, 4 Se 2.83

## AlMoSe (PBE-GGA)

Data for a relaxed structure of AlMoSe.

Properties
space-group type = P3m1 (156)
DOS at the Fermi energy = 2.3 states/eV per cell
relative energy among the computed polymorphs = 0 meV/atom
E_form (uncorrected) = -0.18 eV/atom

abc: 3.1710 3.1710 5.9491
angles: 90.00 90.00 120.00
With the nearest neighbours (Å) after each atom.
Positions (direct):
Mo 0.3333 0.6667 0.3463  3 Se 2.52, 3 Al 2.69
Al 0.0000 0.0000 0.0153  3 Mo 2.69, 3 Se 2.89
Se 0.6667 0.3333 0.6384  3 Mo 2.52

## Al3MoSe (PBE-GGA)

Data for a relaxed structure of Al3MoSe.

Properties
space-group type = Pm-3m (221)
DOS at the Fermi energy = 4.2 states/eV per cell
relative energy among the computed polymorphs = 407 meV/atom
E_form (uncorrected) = 1.17 eV/atom

abc: 4.7052 4.7052 4.7052
angles: 90.00 90.00 90.00
With the nearest neighbours (Å) after each atom.
Positions (direct):
Mo 0.5000 0.5000 0.5000  12 Al 3.33
Al 0.0000 0.5000 0.0000  2 Se 2.35
Al 0.0000 0.0000 0.5000  2 Se 2.35
Al 0.5000 0.0000 0.0000  2 Se 2.35
Se 0.0000 0.0000 0.0000  6 Al 2.35